First-principles (PBE) data for Ce6Mn2Hg after structural relaxation, as listed in Alexandria via LeMat-Bulk.

The formation energy is -119.0 meV per atom. The final energy comes out at -110.63 eV/cell.

The structure belongs to space group C2/m (No. 12); the cell edges are 9.934, 5.025 and 8.652 Å and the angles 90.00°, 97.84° and 90.00°. The asymmetric unit holds Ce at (0.052, 0.000, 0.367), Ce at (0.108, 0.500, 0.666), Ce at (0.198, 0.500, 0.131), Mn at (0.231, 0.500, 0.379) and Hg at (0.000, 0.000, 0.000).